--- P ---
The following is a DFT calculation (PBE) of K2Sn2Hg3S8 after structural relaxation.

- crystal system = orthorhombic
- symmetry = Aea2, No. 41

Lattice parameters (Å, degrees): 6.655 6.655 19.916 90.00 90.00 97.80
Element x y z (fractional)
1 Hg 0.011 0.011 0.000
2 Hg 0.312 0.392 0.246
3 Hg 0.812 0.892 0.254
4 Hg 0.511 0.511 0.500
5 Hg 0.892 0.812 0.746
6 Hg 0.392 0.312 0.754
7 K 0.862 0.449 0.118
8 K 0.362 0.949 0.382
9 K 0.949 0.362 0.618
10 K 0.449 0.862 0.882
11 S 0.236 0.779 0.032
12 S 0.330 0.304 0.126
13 S 0.734 0.903 0.133
14 S 0.221 0.796 0.233
15 S 0.721 0.296 0.267
16 S 0.234 0.403 0.367
17 S 0.830 0.804 0.374
18 S 0.736 0.279 0.468
19 S 0.279 0.736 0.532
20 S 0.804 0.830 0.626
21 S 0.403 0.234 0.633
22 S 0.296 0.721 0.733
23 S 0.796 0.221 0.767
24 S 0.903 0.734 0.867
25 S 0.304 0.330 0.874
26 S 0.779 0.236 0.968
27 Sn 0.377 0.948 0.135
28 Sn 0.877 0.448 0.365
29 Sn 0.448 0.877 0.635
30 Sn 0.948 0.377 0.865

***

--- Q ---
The following is a DFT calculation (PBE) of K2Sn2Hg3S8 after structural relaxation.

- crystal system = triclinic
- symmetry = P-1, No. 2

Lattice parameters (Å, degrees): 6.777 8.040 9.476 109.31 91.55 111.89
Element x y z (fractional)
1 Hg 0.649 0.907 0.119
2 Hg 0.500 0.000 0.500
3 Hg 0.351 0.093 0.881
4 K 0.897 0.526 0.254
5 K 0.103 0.474 0.746
6 S 0.383 0.362 0.116
7 S 0.240 0.843 0.133
8 S 0.914 0.168 0.338
9 S 0.508 0.702 0.490
10 S 0.492 0.298 0.510
11 S 0.086 0.832 0.662
12 S 0.760 0.157 0.867
13 S 0.617 0.638 0.884
14 Sn 0.254 0.161 0.264
15 Sn 0.746 0.839 0.736

***

Stability ranking, top and bottom: P is the most stable and Q is the least stable.

***

--- P ---
The following is a DFT calculation (PBE) of KZrHg3S4 after structural relaxation.

- crystal system = cubic
- symmetry = P-43m, No. 215
- spin magnetization (μB/f.u.) = 0.0

Lattice parameters (Å, degrees): 6.798 6.798 6.798 90.00 90.00 90.00
Element x y z (fractional)
1 Hg 0.500 0.500 0.000
2 Hg 0.500 0.000 0.500
3 Hg 0.000 0.500 0.500
4 K 0.000 0.000 0.000
5 S 0.291 0.291 0.291
6 S 0.709 0.709 0.291
7 S 0.709 0.291 0.709
8 S 0.291 0.709 0.709
9 Zr 0.500 0.500 0.500

***

--- Q ---
The following is a DFT calculation (PBE) of KZrHg3S4 after structural relaxation.

- crystal system = monoclinic
- symmetry = P2_1/m, No. 11
- spin magnetization (μB/f.u.) = 0.0

Lattice parameters (Å, degrees): 7.177 7.715 10.233 90.00 108.36 90.00
Element x y z (fractional)
1 Hg 0.708 0.036 0.044
2 Hg 0.708 0.464 0.044
3 Hg 0.459 0.750 0.190
4 Hg 0.541 0.250 0.810
5 Hg 0.292 0.536 0.956
6 Hg 0.292 0.964 0.956
7 K 0.222 0.250 0.401
8 K 0.778 0.750 0.599
9 S 0.089 0.250 0.001
10 S 0.829 0.504 0.313
11 S 0.829 0.996 0.313
12 S 0.338 0.750 0.392
13 S 0.662 0.250 0.608
14 S 0.171 0.004 0.687
15 S 0.171 0.496 0.687
16 S 0.911 0.750 0.999
17 Zr 0.992 0.750 0.253
18 Zr 0.008 0.250 0.747

***

Stability ranking, top and bottom: Q is the most stable and P is the least stable.

***

--- P ---
The following is a DFT calculation (PBE) of KScHgTe3 after structural relaxation.

- crystal system = orthorhombic
- symmetry = Pnma, No. 62
- spin magnetization (μB/f.u.) = 0.0

Lattice parameters (Å, degrees): 11.938 4.432 16.277 90.00 90.00 90.00
Element x y z (fractional)
1 Hg 0.796 0.250 0.186
2 Hg 0.296 0.250 0.314
3 Hg 0.704 0.750 0.686
4 Hg 0.204 0.750 0.814
5 K 0.544 0.750 0.156
6 K 0.044 0.750 0.344
7 K 0.956 0.250 0.656
8 K 0.456 0.250 0.844
9 Sc 0.135 0.250 0.037
10 Sc 0.635 0.250 0.463
11 Sc 0.365 0.750 0.537
12 Sc 0.865 0.750 0.963
13 Te 0.715 0.250 0.030
14 Te 0.006 0.750 0.112
15 Te 0.325 0.250 0.150
16 Te 0.825 0.250 0.350
17 Te 0.506 0.750 0.388
18 Te 0.215 0.250 0.470
19 Te 0.785 0.750 0.530
20 Te 0.494 0.250 0.612
21 Te 0.175 0.750 0.650
22 Te 0.675 0.750 0.850
23 Te 0.994 0.250 0.888
24 Te 0.285 0.750 0.970

***

--- Q ---
The following is a DFT calculation (PBE) of KScHgTe3 after structural relaxation.

- crystal system = orthorhombic
- symmetry = Pnma, No. 62
- spin magnetization (μB/f.u.) = 0.0

Lattice parameters (Å, degrees): 11.996 4.311 15.989 90.00 90.00 90.00
Element x y z (fractional)
1 Hg 0.239 0.750 0.222
2 Hg 0.739 0.750 0.278
3 Hg 0.261 0.250 0.722
4 Hg 0.761 0.250 0.778
5 K 0.218 0.250 0.019
6 K 0.718 0.250 0.481
7 K 0.282 0.750 0.519
8 K 0.782 0.750 0.981
9 Sc 0.504 0.250 0.236
10 Sc 0.004 0.250 0.264
11 Sc 0.996 0.750 0.736
12 Sc 0.496 0.750 0.764
13 Te 0.429 0.750 0.122
14 Te 0.028 0.750 0.137
15 Te 0.719 0.250 0.159
16 Te 0.219 0.250 0.341
17 Te 0.528 0.750 0.363
18 Te 0.929 0.750 0.378
19 Te 0.071 0.250 0.622
20 Te 0.472 0.250 0.637
21 Te 0.781 0.750 0.659
22 Te 0.281 0.750 0.841
23 Te 0.972 0.250 0.863
24 Te 0.571 0.250 0.878

***

--- R ---
The following is a DFT calculation (PBE) of KScHgTe3 after structural relaxation.

- crystal system = monoclinic
- symmetry = C2/m, No. 12
- spin magnetization (μB/f.u.) = 0.0

Lattice parameters (Å, degrees): 10.286 10.286 9.690 100.88 100.88 23.89
Element x y z (fractional)
1 Hg 0.471 0.471 0.280
2 Hg 0.529 0.529 0.720
3 K 0.144 0.144 0.067
4 K 0.856 0.856 0.933
5 Sc 0.819 0.819 0.422
6 Sc 0.181 0.181 0.578
7 Te 0.500 0.500 0.000
8 Te 0.324 0.324 0.216
9 Te 0.673 0.673 0.368
10 Te 0.000 0.000 0.500
11 Te 0.327 0.327 0.632
12 Te 0.676 0.676 0.784

***

--- S ---
The following is a DFT calculation (PBE) of KScHgTe3 after structural relaxation.

- crystal system = orthorhombic
- symmetry = Pnma, No. 62
- spin magnetization (μB/f.u.) = 0.0

Lattice parameters (Å, degrees): 15.886 4.381 11.710 90.00 90.00 90.00
Element x y z (fractional)
1 Hg 0.482 0.250 0.099
2 Hg 0.982 0.250 0.401
3 Hg 0.018 0.750 0.599
4 Hg 0.518 0.750 0.901
5 K 0.270 0.750 0.058
6 K 0.770 0.750 0.442
7 K 0.230 0.250 0.558
8 K 0.730 0.250 0.942
9 Sc 0.982 0.750 0.148
10 Sc 0.482 0.750 0.352
11 Sc 0.518 0.250 0.648
12 Sc 0.018 0.250 0.852
13 Te 0.094 0.250 0.076
14 Te 0.599 0.750 0.136
15 Te 0.863 0.250 0.225
16 Te 0.363 0.250 0.275
17 Te 0.099 0.750 0.364
18 Te 0.594 0.250 0.424
19 Te 0.406 0.750 0.576
20 Te 0.901 0.250 0.636
21 Te 0.637 0.750 0.725
22 Te 0.137 0.750 0.775
23 Te 0.401 0.250 0.864
24 Te 0.906 0.750 0.924

***

Stability ranking, top and bottom: S is the most stable and R is the least stable.

***

--- P ---
The following is a DFT calculation (PBE) of K2Hg2Se3 after structural relaxation.

- crystal system = trigonal
- symmetry = R-3m, No. 166

Lattice parameters (Å, degrees): 7.309 7.309 7.309 49.82 49.82 49.82
Element x y z (fractional)
1 Hg 0.313 0.313 0.313
2 Hg 0.687 0.687 0.687
3 K 0.000 0.000 0.000
4 K 0.500 0.500 0.500
5 Se 0.500 0.000 0.000
6 Se 0.000 0.500 0.000
7 Se 0.000 0.000 0.500

***

--- Q ---
The following is a DFT calculation (PBE) of K2Hg2Se3 after structural relaxation.

- crystal system = orthorhombic
- symmetry = Pnma, No. 62

Lattice parameters (Å, degrees): 16.354 5.612 10.517 90.00 90.00 90.00
Element x y z (fractional)
1 Hg 0.434 0.250 0.146
2 Hg 0.206 0.250 0.164
3 Hg 0.706 0.250 0.336
4 Hg 0.934 0.250 0.354
5 Hg 0.066 0.750 0.646
6 Hg 0.294 0.750 0.664
7 Hg 0.794 0.750 0.836
8 Hg 0.566 0.750 0.854
9 K 0.335 0.750 0.001
10 K 0.061 0.750 0.113
11 K 0.561 0.750 0.387
12 K 0.835 0.750 0.499
13 K 0.165 0.250 0.501
14 K 0.439 0.250 0.613
15 K 0.939 0.250 0.887
16 K 0.665 0.250 0.999
17 Se 0.581 0.750 0.092
18 Se 0.872 0.535 0.157
19 Se 0.872 0.965 0.157
20 Se 0.372 0.535 0.343
21 Se 0.372 0.965 0.343
22 Se 0.081 0.750 0.408
23 Se 0.919 0.250 0.592
24 Se 0.628 0.035 0.657
25 Se 0.628 0.465 0.657
26 Se 0.128 0.035 0.843
27 Se 0.128 0.465 0.843
28 Se 0.419 0.250 0.908

***

Stability ranking, top and bottom: Q is the most stable and P is the least stable.

***

--- P ---
The following is a DFT calculation (PBE) of KSmHgTe3 after structural relaxation.

- crystal system = monoclinic
- symmetry = C2/m, No. 12
- spin magnetization (μB/f.u.) = 0.0

Lattice parameters (Å, degrees): 10.565 10.565 9.660 101.80 101.80 24.67
Element x y z (fractional)
1 Hg 0.533 0.533 0.221
2 Hg 0.467 0.467 0.779
3 K 0.863 0.863 0.430
4 K 0.137 0.137 0.570
5 Sm 0.174 0.174 0.079
6 Sm 0.826 0.826 0.921
7 Te 0.000 0.000 0.000
8 Te 0.327 0.327 0.143
9 Te 0.676 0.676 0.307
10 Te 0.500 0.500 0.500
11 Te 0.324 0.324 0.693
12 Te 0.673 0.673 0.857

***

--- Q ---
The following is a DFT calculation (PBE) of KSmHgTe3 after structural relaxation.

- crystal system = monoclinic
- symmetry = P2_1/m, No. 11
- spin magnetization (μB/f.u.) = 0.0

Lattice parameters (Å, degrees): 9.155 4.560 11.219 90.00 107.43 90.00
Element x y z (fractional)
1 Hg 0.088 0.250 0.118
2 Hg 0.912 0.750 0.882
3 K 0.756 0.750 0.222
4 K 0.244 0.250 0.778
5 Sm 0.316 0.750 0.362
6 Sm 0.684 0.250 0.638
7 Te 0.247 0.750 0.053
8 Te 0.548 0.250 0.350
9 Te 0.072 0.250 0.363
10 Te 0.928 0.750 0.637
11 Te 0.452 0.750 0.650
12 Te 0.753 0.250 0.947

***

Stability ranking, top and bottom: Q is the most stable and P is the least stable.

***

--- P ---
The following is a DFT calculation (PBE) of KSnHg after structural relaxation.

- crystal system = cubic
- symmetry = F-43m, No. 216

Lattice parameters (Å, degrees): 5.272 5.272 5.272 60.00 60.00 60.00
Element x y z (fractional)
1 Hg 0.000 0.000 0.000
2 K 0.250 0.250 0.250
3 Sn 0.750 0.750 0.750

***

--- Q ---
The following is a DFT calculation (PBE) of KSnHg after structural relaxation.

- crystal system = cubic
- symmetry = F-43m, No. 216

Lattice parameters (Å, degrees): 5.501 5.501 5.501 60.00 60.00 60.00
Element x y z (fractional)
1 Hg 0.250 0.250 0.250
2 K 0.000 0.000 0.000
3 Sn 0.750 0.750 0.750

***

Stability ranking, top and bottom: P is the most stable and Q is the least stable.

***

--- P ---
The following is a DFT calculation (PBE) of LiLaHg2 after structural relaxation.

- crystal system = hexagonal
- symmetry = P6_3/mmc, No. 194
- spin magnetization (μB/f.u.) = 0.0

Lattice parameters (Å, degrees): 5.385 5.385 8.457 90.00 90.00 120.00
Element x y z (fractional)
1 Hg 0.667 0.333 0.082
2 Hg 0.667 0.333 0.418
3 Hg 0.333 0.667 0.582
4 Hg 0.333 0.667 0.918
5 La 0.000 0.000 0.000
6 La 0.000 0.000 0.500
7 Li 0.333 0.667 0.250
8 Li 0.667 0.333 0.750

***

--- Q ---
The following is a DFT calculation (PBE) of LiLaHg2 after structural relaxation.

- crystal system = hexagonal
- symmetry = P6_3/mmc, No. 194
- spin magnetization (μB/f.u.) = 0.0

Lattice parameters (Å, degrees): 5.250 5.250 9.107 90.00 90.00 120.00
Element x y z (fractional)
1 Hg 0.333 0.667 0.090
2 Hg 0.333 0.667 0.410
3 Hg 0.667 0.333 0.590
4 Hg 0.667 0.333 0.910
5 La 0.667 0.333 0.250
6 La 0.333 0.667 0.750
7 Li 0.000 0.000 0.250
8 Li 0.000 0.000 0.750

***

Stability ranking, top and bottom: P is the most stable and Q is the least stable.